Li3CrFe3O8 after structural relaxation, computed with PBE+U.

```
data_Li3CrFe3O8
_chemical_formula_sum 'Li6 Cr2 Fe6 O16'
_space_group_name_H-M_alt 'P -1'
_space_group_IT_number 2
_cell_length_a 5.1663
_cell_length_b 7.7418
_cell_length_c 7.7715
_cell_angle_alpha 81.79
_cell_angle_beta 84.01
_cell_angle_gamma 71.16
loop_
_space_group_symop_operation_xyz
'x,y,z'
'-x,-y,-z'
loop_
_atom_site_label
_atom_site_fract_x
_atom_site_fract_y
_atom_site_fract_z
Li1 0.0000 0.0000 0.0000
Li2 0.0000 0.5000 0.5000
Li3 0.0026 0.1076 0.6230
Li4 0.0035 0.3757 0.8833
Cr1 0.4885 0.9393 0.1866
Fe1 0.4941 0.6868 0.9380
Fe2 0.4951 0.4386 0.6894
Fe3 0.5000 0.1871 0.4294
O1 0.2725 0.0217 0.4126
O2 0.2760 0.7676 0.1575
O3 0.2811 0.2862 0.6578
O4 0.2832 0.9036 0.7859
O5 0.2880 0.6385 0.5226
O6 0.2886 0.1540 0.0236
O7 0.2911 0.4142 0.2765
O8 0.2914 0.5160 0.9074
```

Calculated values
The uncorrected energy is -6.199 eV/atom. The value obtained for the polymorph energy (0 for the lowest one) is 143 meV per atom. The size of the total moment comes out at 11.00 μB per formula unit.